# 1
KLi2HAuCl after structural relaxation. Source: the Alexandria database, functional PBE-GGA.

Cell: 3.538 5.467 7.813 Å, 108.79 102.95 90.05°
Sites, in units of the cell vectors:
1 K 0.558 0.023 0.621
2 Li 0.285 0.076 0.082
3 Li 0.755 0.553 0.021
4 Au 0.135 0.603 0.777
5 Cl 0.887 0.928 0.275
6 H 0.742 0.215 0.000

* crystal system: triclinic
* electronic total energy: -2.97 eV per atom
* mass density: 3.4 g/cm³
* symmetry: P1 (1)
* volume: 23.16 A^3/atom

---

# 2
KLi2HAuCl after structural relaxation. Source: the Alexandria database, functional PBE-GGA.

Cell: 5.803 3.580 6.276 Å, 90.00 107.94 90.00°
Sites, in units of the cell vectors:
1 H 0.956 0.000 0.951
2 Cl 0.506 0.500 0.076
3 Au 0.135 0.500 0.526
4 Li 0.925 0.500 0.072
5 K 0.631 0.000 0.510
6 Li 0.244 0.000 0.884

* crystal system: monoclinic
* electronic total energy: -3.00 eV per atom
* mass density: 3.8 g/cm³
* symmetry: Pm (6)
* volume: 20.68 A^3/atom

---

# 3
H4AuNCl2 after structural relaxation. Source: the Alexandria database, functional PBE-GGA.

Cell: 5.875 5.875 6.017 Å, 90.44 90.44 90.08°
Site moments in Bohr magnetons follow the coordinates.
Sites, in units of the cell vectors:
1 N 0.000 0.000 0.000  0.00
2 H 0.500 0.499 0.320  0.00
3 H 0.500 0.307 0.500  0.00
4 H 0.807 0.000 0.000  0.00
5 Cl 0.500 0.000 0.500  0.22
6 H 0.999 0.000 0.820  0.00
7 Cl 0.500 0.000 0.000  0.22
8 Au 0.000 0.500 0.500  0.00
9 Au 0.000 0.500 0.000  0.00
10 H 0.001 0.000 0.180  0.00
11 H 0.193 0.000 0.000  0.00
12 H 0.500 0.501 0.680  0.00
13 Cl 0.500 0.500 0.000  0.10
14 H 0.500 0.693 0.500  0.00
15 N 0.500 0.500 0.500  0.00
16 Cl 0.000 0.000 0.500  0.10

* crystal system: monoclinic
* electronic total energy: -3.43 eV per atom
* mass density: 4.6 g/cm³
* symmetry: C2/c (15)
* volume: 12.98 A^3/atom

---

# 4
H4AuNCl3 after structural relaxation. Source: the Alexandria database, functional PBE-GGA.

Cell: 6.735 8.972 14.068 Å, 86.58 120.77 86.33°
Site moments in Bohr magnetons follow the coordinates.
Sites, in units of the cell vectors:
1 Cl 0.345 0.949 0.279  0.00
2 Cl 0.445 0.946 0.072  0.00
3 H 0.361 0.449 0.484  0.00
4 Cl 0.662 0.513 0.641  0.00
5 N 0.236 0.426 0.405  0.00
6 H 0.172 0.487 0.937  0.00
7 H 0.235 0.588 0.851  0.00
8 H 0.299 0.399 0.873  0.00
9 H 0.018 0.477 0.797  0.00
10 N 0.181 0.487 0.865  0.00
11 H 0.899 0.937 0.967  0.00
12 H 0.839 0.876 0.516  0.00
13 Cl 0.138 0.505 0.085  0.02
14 Au 0.605 0.811 0.246  0.00
15 H 0.751 0.997 0.579  0.00
16 H 0.035 0.927 0.642  0.00
17 H 0.128 0.523 0.358  0.00
18 N 0.907 0.884 0.037  0.00
19 N 0.885 0.964 0.566  0.00
20 Cl 0.888 0.037 0.815  0.00
21 H 0.750 0.902 0.033  0.00
22 Cl 0.339 0.797 0.799  0.00
23 H 0.319 0.387 0.365  0.00
24 H 0.132 0.348 0.408  0.00
25 Cl 0.810 0.226 0.356  0.03
26 H 0.912 0.054 0.526  0.00
27 H 0.036 0.924 0.108  0.00
28 Cl 0.850 0.667 0.209  0.00
29 Cl 0.774 0.678 0.421  0.00
30 Cl 0.413 0.078 0.566  0.00
31 Cl 0.148 0.291 0.657  0.00
32 Au 0.498 0.657 0.718  0.00
33 H 0.951 0.770 0.043  0.00
34 Au 0.475 0.367 0.223  0.06
35 Cl 0.618 0.243 0.908  0.00
36 Au 0.517 0.164 0.737  0.00

* crystal system: triclinic
* electronic total energy: -3.93 eV per atom
* mass density: 2.9 g/cm³
* symmetry: P1 (1)
* volume: 20.13 A^3/atom

---

# 5
H4AuNCl3 after structural relaxation. Source: the Alexandria database, functional PBE-GGA.

Cell: 5.422 7.056 9.534 Å, 81.04 87.65 76.72°
Sites, in units of the cell vectors:
1 H 0.427 0.433 0.911
2 H 0.008 0.559 0.432
3 H 0.688 0.587 0.437
4 Cl 0.322 0.671 0.318
5 Au 0.639 0.000 0.750
6 H 0.403 0.631 0.996
7 H 0.851 0.567 0.589
8 H 0.270 0.441 0.068
9 H 0.875 0.369 0.504
10 Cl 0.956 0.329 0.181
11 H 0.590 0.413 0.063
12 N 0.422 0.480 0.009
13 Cl 0.858 0.673 0.801
14 Cl 0.420 0.327 0.699
15 Cl 0.859 0.031 0.531
16 Cl 0.418 0.969 0.969
17 Au 0.139 0.000 0.250
18 N 0.856 0.520 0.491

* crystal system: triclinic
* electronic total energy: -3.94 eV per atom
* mass density: 3.0 g/cm³
* symmetry: P-1 (2)
* volume: 19.48 A^3/atom

---

# 6
H9AuCl4O4 after structural relaxation. Source: the Alexandria database, functional PBE-GGA.

Cell: 4.468 6.773 9.924 Å, 108.17 84.05 90.83°
Sites, in units of the cell vectors:
1 Cl 0.391 0.917 0.756
2 H 0.039 0.361 0.617
3 Cl 0.403 0.080 0.246
4 Cl 0.115 0.707 0.997
5 O 0.334 0.355 0.708
6 H 0.756 0.636 0.385
7 H 0.453 0.773 0.270
8 H 0.295 0.468 0.800
9 H 0.123 0.625 0.383
10 O 0.926 0.632 0.443
11 Au 0.397 0.998 0.001
12 O 0.870 0.365 0.559
13 H 0.501 0.529 0.203
14 H 0.343 0.224 0.732
15 H 0.673 0.372 0.619
16 H 0.898 0.498 0.501
17 O 0.462 0.642 0.295
18 Cl 0.680 0.290 0.005

* crystal system: triclinic
* electronic total energy: -4.24 eV per atom
* mass density: 2.4 g/cm³
* symmetry: P-1 (2)
* volume: 15.76 A^3/atom

---

# 7
PHAuCl2 after structural relaxation. Source: the Alexandria database, functional PBE-GGA.

Cell: 5.071 5.071 3.238 Å, 90.00 90.00 90.00°
Sites, in units of the cell vectors:
1 H 0.000 0.000 0.000
2 P 0.000 0.000 0.500
3 Au 0.500 0.500 0.500
4 Cl 0.000 0.500 0.000
5 Cl 0.500 0.000 0.000

* crystal system: tetragonal
* electronic total energy: -2.56 eV per atom
* mass density: 6.0 g/cm³
* symmetry: P4/mmm (123)
* volume: 16.66 A^3/atom

---

# 8
PHAuCl2 after structural relaxation. Source: the Alexandria database, functional PBE-GGA.

Cell: 5.264 5.264 4.599 Å, 90.00 90.00 90.00°
Site moments in Bohr magnetons follow the coordinates.
Sites, in units of the cell vectors:
1 Cl 0.000 0.500 0.000  0.04
2 Au 0.000 0.000 0.000  -0.01
3 Cl 0.500 0.000 0.000  0.04
4 H 0.500 0.500 0.500  0.37
5 P 0.000 0.000 0.500  0.23

* crystal system: tetragonal
* electronic total energy: -2.34 eV per atom
* mass density: 3.9 g/cm³
* symmetry: P4/mmm (123)
* volume: 25.49 A^3/atom

---

> Which of these has the highest volume?

number 8

---

> Among the records above, which one has the highest volume?

number 8

---

> What is the mass density in the eighth record?

3.9 g/cm³

---

What did the third record say?
H4AuNCl2 after structural relaxation. Source: the Alexandria database, functional PBE-GGA.

Cell: 5.875 5.875 6.017 Å, 90.44 90.44 90.08°
Site moments in Bohr magnetons follow the coordinates.
Sites, in units of the cell vectors:
1 N 0.000 0.000 0.000  0.00
2 H 0.500 0.499 0.320  0.00
3 H 0.500 0.307 0.500  0.00
4 H 0.807 0.000 0.000  0.00
5 Cl 0.500 0.000 0.500  0.22
6 H 0.999 0.000 0.820  0.00
7 Cl 0.500 0.000 0.000  0.22
8 Au 0.000 0.500 0.500  0.00
9 Au 0.000 0.500 0.000  0.00
10 H 0.001 0.000 0.180  0.00
11 H 0.193 0.000 0.000  0.00
12 H 0.500 0.501 0.680  0.00
13 Cl 0.500 0.500 0.000  0.10
14 H 0.500 0.693 0.500  0.00
15 N 0.500 0.500 0.500  0.00
16 Cl 0.000 0.000 0.500  0.10

* crystal system: monoclinic
* electronic total energy: -3.43 eV per atom
* mass density: 4.6 g/cm³
* symmetry: C2/c (15)
* volume: 12.98 A^3/atom